# 1
Material: Tm6SbC2
Method: DFT, GGA-PBE
State: relaxed

Structure (POSCAR):
```
Tm6SbC2
1.0
4.812 0.000 0.000
2.406 6.400 -0.461
2.406 2.099 6.972
Tm Sb C
6 1 2
Cartesian
7.217 6.315 6.181
2.406 2.184 0.331
7.217 6.018 0.951
4.812 6.027 3.691
2.406 2.481 5.560
4.812 2.471 2.821
2.406 4.249 3.256
4.812 6.578 5.988
4.812 1.921 0.523
```

Properties
N(E_F) ... 0.7399 states/eV/atom
ρ ... 8.8 g cm⁻³
Energy ... -5.795 eV/atom
Magnetization ... 0.0 μB/cell


# 2
Material: LiLaThSc
Method: DFT, GGA-PBE
State: relaxed

Structure (POSCAR):
```
LiLaThSc
1.0
5.430 0.000 0.000
2.715 4.703 0.000
2.715 1.568 4.434
Sc Li Th La
1 1 1 1
Cartesian
2.715 1.568 1.108
8.146 4.703 3.325
5.430 3.135 2.217
0.000 0.000 0.000
```

Properties
N(E_F) ... 1.0240 states/eV/atom
ρ ... 6.2 g cm⁻³
Energy relative to the elements ... 0.18 eV/atom
Magnetization ... 0.0 μB/cell


# 3
Material: BaLiTc2
Method: DFT, GGA-PBE
State: relaxed

Structure (POSCAR):
```
BaLiTc2
1.0
-0.197 3.045 -3.675
1.004 -1.519 -4.417
-3.487 -0.391 -3.241
Ba Li Tc
1 1 2
Cartesian
-1.340 0.568 -5.667
-2.011 0.852 -8.500
0.000 0.000 0.000
-0.670 0.284 -2.833
```

Properties
Distance to the lowest polymorph of the same formula ... 2.240 eV/f.u.
N(E_F) ... 1.2440 states/eV/atom
ρ ... 7.3 g cm⁻³
Energy relative to the elements ... 0.93 eV/atom
Magnetization ... 0.0 μB/cell


# 4
Material: LaCuOs2
Method: DFT, GGA-PBE
State: relaxed

Structure (POSCAR):
```
LaCuOs2
1.0
-0.253 2.349 1.741
-2.908 -0.026 -0.389
-0.816 -4.847 6.422
Cu La Os
1 1 2
Cartesian
-0.371 -2.204 2.920
-2.189 -2.451 5.461
-0.043 -0.253 0.335
-1.783 -0.040 2.267
```

Properties
Distance to the lowest polymorph of the same formula ... 0.048 eV/f.u.
N(E_F) ... 0.7021 states/eV/atom
ρ ... 13.9 g cm⁻³
Energy relative to the elements ... 0.27 eV/atom
Magnetization ... 0.0 μB/cell


# 5
Material: GaPdI3
Method: DFT, GGA-PBE
State: relaxed

Structure (POSCAR):
```
GaPdI3
1.0
-0.754 -2.706 4.782
5.405 0.500 1.135
-0.985 4.815 2.569
I Ga Pd
3 1 1
Cartesian
2.703 0.250 0.567
-0.493 2.407 1.285
-0.377 -1.353 2.391
1.833 1.305 4.243
0.000 0.000 0.000
```

Properties
Distance to the lowest polymorph of the same formula ... 0.000 eV/f.u.
N(E_F) ... 0.2669 states/eV/atom
ρ ... 5.4 g cm⁻³
Magnetization ... 0.0 μB/cell


# 6
Material: K4I2O
Method: DFT, GGA-PBE
State: relaxed

Structure (POSCAR):
```
K4I2O
1.0
5.236 0.000 0.000
0.000 5.088 -1.826
0.000 0.522 9.455
K I O
4 2 1
Cartesian
0.000 2.544 -0.913
2.618 0.000 0.000
0.000 0.870 2.425
0.000 4.740 5.203
2.618 2.176 6.063
2.618 3.434 1.565
0.000 0.000 0.000
```

Properties
ρ ... 2.8 g cm⁻³
Energy ... -3.079 eV/atom
Magnetization ... 0.0 μB/cell


# 7
Material: MnCdGaPt
Method: DFT, GGA-PBE
State: relaxed

Structure (POSCAR):
```
MnCdGaPt
1.0
-0.626 -3.875 -2.230
3.546 -2.568 -1.102
0.669 -3.943 2.094
Mn Ga Pt Cd
1 1 1 1
Cartesian
0.000 0.000 0.000
1.795 -5.193 -0.619
0.897 -2.597 -0.310
2.692 -7.790 -0.929
```

Properties
N(E_F) ... 0.5447 states/eV/atom
ρ ... 11.0 g cm⁻³
Energy relative to the elements ... -0.15 eV/atom
Magnetization ... 3.9 μB/cell


# 8
Material: Ac4Si2H
Method: DFT, GGA-PBE
State: relaxed

Structure (POSCAR):
```
Ac4Si2H
1.0
4.908 0.000 0.000
0.000 4.908 0.000
-2.454 -2.454 8.635
H Ac Si
1 4 2
Cartesian
0.000 0.000 0.000
2.454 2.454 5.448
0.000 0.000 3.186
0.000 2.454 0.000
2.454 0.000 0.000
2.454 2.454 2.281
0.000 0.000 6.354
```

Properties
Distance to the lowest polymorph of the same formula ... 0.280 eV/f.u.
N(E_F) ... 0.9845 states/eV/atom
ρ ... 7.7 g cm⁻³
Magnetization ... 0.0 μB/cell